No. 1
Tm6TlSe3S2 | GGA-PBE | optimized geometry

The energy is -5.4832 eV per atom. Its formation energy without anion corrections is -1.49 eV/atom. The crystal system is monoclinic. The volume is 554.5 Å³ per cell. For the density of states at the Fermi level, the calculation gives 10.295 states/eV/cell.

a = 17.6362 Å, b = 3.9243 Å, c = 8.2565 Å
α = 90.00°, β = 104.00°, γ = 90.00°
With the nearest neighbours (Å) after each atom.
Space group C2/m (No. 12)
Asymmetric unit:
1 Tm 0.0071 0.0000 0.2645 x4  1 S 2.79, 3 Se 2.79-2.95, 2 Tl 2.92
2 Tm 0.1703 0.5000 0.1045 x4  2 S 2.76, 3 Se 2.82-2.98, 1 Tl 2.92
3 Tm 0.1720 0.5000 0.5717 x4  3 S 2.71-2.74, 3 Se 2.92-2.95
4 Tl 0.0000 0.5000 0.0000 x2  6 Tm 2.92
5 Se 0.0000 0.5000 0.5000 x2  6 Tm 2.79-2.95
6 Se 0.1652 0.0000 0.8304 x4  6 Tm 2.82-2.98
7 S 0.1699 0.0000 0.3393 x4  6 Tm 2.71-2.79



No. 2
Sc2SiRh | GGA-PBE | optimized geometry

The energy is -6.8652 eV per atom. Its formation energy without anion corrections is -0.51 eV/atom. The crystal system is orthorhombic. The volume is 74.1 Å³ per cell. For the density of states at the Fermi level, the calculation gives 2.937 states/eV/cell.

a = 3.1348 Å, b = 4.2968 Å, c = 5.4991 Å
α = 90.00°, β = 90.00°, γ = 90.00°
With the nearest neighbours (Å) after each atom.
Space group Pmm2 (No. 25)
Asymmetric unit:
1 Sc 0.0000 0.0000 0.0000 x1  2 Si 2.74-2.76, 4 Rh 2.76
2 Sc 0.5000 0.5000 0.3439 x1  2 Rh 2.64-2.86, 4 Si 2.80
3 Si 0.0000 0.0000 0.5010 x1  6 Sc 2.74-2.80
4 Rh 0.5000 0.5000 0.8644 x1  6 Sc 2.64-2.86



No. 3
Ac3In2O8 | GGA-PBE | optimized geometry

The energy is -6.7122 eV per atom. Its formation energy without anion corrections is -2.29 eV/atom. The crystal system is trigonal. The volume is 676.2 Å³ per cell. For the density of states at the Fermi level, the calculation gives 35.771 states/eV/cell.

a = 6.2206 Å, b = 6.2206 Å, c = 20.1772 Å
α = 90.00°, β = 90.00°, γ = 120.00°
With the nearest neighbours (Å) after each atom.
Space group R-3m (No. 166, hexagonal axes)
Asymmetric unit:
1 Ac 0.0000 0.0000 0.0000 x3  6 O 2.63
2 Ac 0.0000 0.0000 0.1964 x6  4 O 2.26-2.48
3 In 0.0000 0.0000 0.4090 x6  4 O 2.03-2.05
4 O 0.0000 0.0000 0.3083 x6  1 In 2.03, 1 Ac 2.26
5 O 0.0341 0.5170 0.7694 x18  1 In 2.05



No. 4
Mo7Os | GGA-PBE | optimized geometry

The energy is -10.5684 eV per atom. The crystal system is cubic. The volume is 505.3 Å³ per cell. For the density of states at the Fermi level, the calculation gives 46.059 states/eV/cell. For the calculated formation energy, the calculation gives 30 kJ per mole of atoms.

a = 7.9647 Å, b = 7.9647 Å, c = 7.9647 Å
α = 90.00°, β = 90.00°, γ = 90.00°
With the nearest neighbours (Å) after each atom.
Space group Fm-3m (No. 225)
Asymmetric unit:
1 Mo 0.0000 0.0000 0.0000 x4  12 Mo 2.82
2 Mo 0.0000 0.2500 0.2500 x24  10 Mo 2.82, 2 Os 2.82
3 Os 0.0000 0.0000 0.5000 x4  12 Mo 2.82